Entry 1:
DFT (PBE) results for Rb2TcBr4Cl2 after structural relaxation.

Space-group type   C2/m
E_tot   -32.877 eV per cell
Mass density   3529 kg/m3
Spin magnetization   3.0 Bohr magnetons per cell

```
9
Lattice="6.4424 -3.6864 0.0000 6.4424 3.6864 0.0000 -1.0951 0.0000 6.5322" Properties=species:S:1:pos:R:3 pbc="T T T"
Rb 1.6746 0.0000 1.8989
Rb 10.1151 0.0000 4.6333
Tc 5.8949 0.0000 3.2661
Br 4.9379 1.7933 1.7333
Br 6.8518 1.7933 4.7989
Br 4.9379 -1.7933 1.7333
Br 6.8518 -1.7933 4.7989
Cl 3.8730 0.0000 4.5039
Cl 7.9167 0.0000 2.0283
```



Entry 2:
DFT (PBE) results for K2ZrCo after structural relaxation.

Space-group type   F-43m
E_tot   -12.909 eV per cell
Mass density   3499 kg/m3
Polymorph energy (0 for the lowest one)   833 meV/atom
Spin magnetization   0.9 Bohr magnetons per cell
Density of states at the Fermi level   4.815 states/eV/cell

```
4
Lattice="0.0000 3.7839 3.7839 3.7839 0.0000 3.7839 3.7839 3.7839 0.0000" Properties=species:S:1:pos:R:3 pbc="T T T"
K 0.0000 0.0000 0.0000
K 1.8920 1.8920 1.8920
Zr 5.6759 5.6759 5.6759
Co 3.7839 3.7839 3.7839
```



Entry 3:
DFT (PBE) results for Al2TlCl after structural relaxation.

Space-group type   I4/mmm
E_tot   -11.370 eV per cell
Mass density   4852 kg/m3
Polymorph energy (0 for the lowest one)   214 meV/atom
Spin magnetization   0.0 Bohr magnetons per cell
Density of states at the Fermi level   1.747 states/eV/cell

```
4
Lattice="-2.1233 2.1233 5.5757 2.1233 -2.1233 5.5757 2.1233 2.1233 -5.5757" Properties=species:S:1:pos:R:3 pbc="T T T"
Al 2.1233 0.0000 2.7879
Al 0.0000 2.1233 2.7879
Tl 0.0000 0.0000 0.0000
Cl 0.0000 0.0000 5.5757
```



Repeat the second record exactly.
DFT (PBE) results for K2ZrCo after structural relaxation.

Space-group type   F-43m
E_tot   -12.909 eV per cell
Mass density   3499 kg/m3
Polymorph energy (0 for the lowest one)   833 meV/atom
Spin magnetization   0.9 Bohr magnetons per cell
Density of states at the Fermi level   4.815 states/eV/cell

```
4
Lattice="0.0000 3.7839 3.7839 3.7839 0.0000 3.7839 3.7839 3.7839 0.0000" Properties=species:S:1:pos:R:3 pbc="T T T"
K 0.0000 0.0000 0.0000
K 1.8920 1.8920 1.8920
Zr 5.6759 5.6759 5.6759
Co 3.7839 3.7839 3.7839
```



Number 2 is which compound?
K2ZrCo



Which of these has the lowest E_tot?
Rb2TcBr4Cl2



spin magnetization of number 3 (Al2TlCl)?
0.0 Bohr magnetons per cell